Record 1
Material: LuFeCoGe
Method: DFT, PBE
State: optimized geometry

```
data_LuFeCoGe
_symmetry_space_group_name_H-M 'P 1'
_symmetry_Int_Tables_number 1
_cell_length_a 4.4562
_cell_length_b 4.4562
_cell_length_c 4.4562
_cell_angle_alpha 60.00
_cell_angle_beta 60.00
_cell_angle_gamma 60.00
loop_
_symmetry_equiv_pos_as_xyz
'x,y,z'
loop_
_atom_site_label
_atom_site_fract_x
_atom_site_fract_y
_atom_site_fract_z
Ge1 0.0000 0.0000 0.0000
Co1 0.5000 0.5000 0.5000
Lu1 0.2500 0.2500 0.2500
Fe1 0.7500 0.7500 0.7500
```

Summary:
The energy above the lowest structure with this stoichiometry comes out at 0.70 eV per formula unit. As for the space group: No. 216. The value obtained for the density is 9.6 Mg/m³.



Record 2
Material: TbNdSi2Br2
Method: DFT, PBE
State: optimized geometry

```
data_TbNdSi2Br2
_symmetry_space_group_name_H-M 'P 1'
_symmetry_Int_Tables_number 1
_cell_length_a 4.0899
_cell_length_b 4.0899
_cell_length_c 11.2239
_cell_angle_alpha 90.00
_cell_angle_beta 90.00
_cell_angle_gamma 120.00
loop_
_symmetry_equiv_pos_as_xyz
'x,y,z'
loop_
_atom_site_label
_atom_site_fract_x
_atom_site_fract_y
_atom_site_fract_z
Br1 0.3333 0.6667 0.6555
Si1 0.3333 0.6667 0.0121
Tb1 0.0000 0.0000 0.1744
Nd1 0.0000 0.0000 0.8252
Br2 0.6667 0.3333 0.3355
Si2 0.6667 0.3333 0.9974
```

Summary:
As for the space group: No. 156. The value obtained for the density is 5.3 Mg/m³.



Record 3
Material: SrScAgO3
Method: DFT, PBE
State: optimized geometry

```
data_SrScAgO3
_symmetry_space_group_name_H-M 'P 1'
_symmetry_Int_Tables_number 1
_cell_length_a 6.5456
_cell_length_b 6.5456
_cell_length_c 8.5638
_cell_angle_alpha 90.00
_cell_angle_beta 90.00
_cell_angle_gamma 29.92
loop_
_symmetry_equiv_pos_as_xyz
'x,y,z'
loop_
_atom_site_label
_atom_site_fract_x
_atom_site_fract_y
_atom_site_fract_z
Sc1 0.0000 0.0000 0.0000
Ag1 0.6158 0.6158 0.7500
Sr1 0.6760 0.6760 0.2500
O1 0.9579 0.9579 0.7500
Sr2 0.3240 0.3240 0.7500
O2 0.6089 0.6089 0.9895
O3 0.3911 0.3911 0.4895
O4 0.3911 0.3911 0.0105
Ag2 0.3842 0.3842 0.2500
O5 0.0421 0.0421 0.2500
O6 0.6089 0.6089 0.5105
Sc2 0.0000 0.0000 0.5000
```

Summary:
As for the space group: No. 63. The value obtained for the density is 5.2 Mg/m³.



Record 4
Material: K2La4Cu4Se9
Method: DFT, PBE
State: optimized geometry

```
data_K2La4Cu4Se9
_symmetry_space_group_name_H-M 'P 1'
_symmetry_Int_Tables_number 1
_cell_length_a 7.6336
_cell_length_b 7.6336
_cell_length_c 17.1327
_cell_angle_alpha 108.74
_cell_angle_beta 108.74
_cell_angle_gamma 32.40
loop_
_symmetry_equiv_pos_as_xyz
'x,y,z'
loop_
_atom_site_label
_atom_site_fract_x
_atom_site_fract_y
_atom_site_fract_z
La1 0.6561 0.6561 0.0547
Se1 0.0000 0.0000 0.0000
Cu1 0.7618 0.7618 0.7740
Se2 0.3947 0.3947 0.3714
La2 0.3439 0.3439 0.9453
La3 0.2334 0.2334 0.6042
Se3 0.8711 0.8711 0.5765
K1 0.0300 0.0300 0.7667
Se4 0.6053 0.6053 0.6286
Se5 0.6462 0.6462 0.2212
Se6 0.3538 0.3538 0.7788
Se7 0.3059 0.3059 0.1105
La4 0.7666 0.7666 0.3958
Cu2 0.5731 0.5731 0.4712
Se8 0.1289 0.1289 0.4235
Se9 0.6941 0.6941 0.8895
Cu3 0.2382 0.2382 0.2260
K2 0.9700 0.9700 0.2333
Cu4 0.4269 0.4269 0.5288
```

Summary:
As for the space group: No. 12. The value obtained for the density is 5.3 Mg/m³.



Record 5
Material: NdTmZnCo2
Method: DFT, PBE
State: optimized geometry

```
data_NdTmZnCo2
_symmetry_space_group_name_H-M 'P 1'
_symmetry_Int_Tables_number 1
_cell_length_a 5.3805
_cell_length_b 5.3805
_cell_length_c 5.3805
_cell_angle_alpha 135.15
_cell_angle_beta 119.08
_cell_angle_gamma 78.76
loop_
_symmetry_equiv_pos_as_xyz
'x,y,z'
loop_
_atom_site_label
_atom_site_fract_x
_atom_site_fract_y
_atom_site_fract_z
Tm1 0.7938 0.7938 0.0000
Zn1 0.5040 0.0040 0.5000
Co1 0.7875 0.4967 0.2908
Nd1 0.2089 0.2089 0.0000
Co2 0.2059 0.4967 0.7092
```

Summary:
As for the space group: No. 44. The value obtained for the density is 8.9 Mg/m³.



Record 6
Material: AcHfAl
Method: DFT, PBE
State: optimized geometry

```
data_AcHfAl
_symmetry_space_group_name_H-M 'P 1'
_symmetry_Int_Tables_number 1
_cell_length_a 5.2126
_cell_length_b 5.2126
_cell_length_c 5.2126
_cell_angle_alpha 60.00
_cell_angle_beta 60.00
_cell_angle_gamma 60.00
loop_
_symmetry_equiv_pos_as_xyz
'x,y,z'
loop_
_atom_site_label
_atom_site_fract_x
_atom_site_fract_y
_atom_site_fract_z
Al1 0.2500 0.2500 0.2500
Hf1 0.7500 0.7500 0.7500
Ac1 0.0000 0.0000 0.0000
```

Summary:
The energy above the lowest structure with this stoichiometry comes out at 2.22 eV per formula unit. As for the space group: No. 216. The value obtained for the density is 7.2 Mg/m³.



Respective uncorrected energy values: -6.193 -5.168 -6.511 -4.932 -5.188 -4.834 eV per atom.